MoS2O | PBE+U | optimized geometry

The structure in POSCAR format:
```
MoS2O
1.0
5.191 0.000 0.000
0.000 5.191 0.000
0.000 0.000 10.712
Mo S O
4 8 4
direct
0.000 0.000 0.000
0.000 0.500 0.250
0.500 0.000 0.750
0.500 0.500 0.500
0.241 0.250 0.625
0.250 0.741 0.875
0.250 0.759 0.375
0.259 0.250 0.125
0.741 0.750 0.125
0.750 0.241 0.375
0.750 0.259 0.875
0.759 0.750 0.625
0.000 0.000 0.500
0.000 0.500 0.750
0.500 0.000 0.250
0.500 0.500 0.000
```

Summary:
- SG = I-42d, No. 122
- D(E_F) (states/eV/cell) = 1.54
- total energy (eV/cell) = -72.03